Here is a geometry-optimized AlFeCo4 structure from Alexandria via LeMat-Bulk. Energies are from PBE.

Summary:
- energy of formation from the pure elements (eV per atom) = -0.15
- E_tot (eV/atom) = -6.92
- SG = C2/m
- magnetization (μB/atom) = 1.432

Cell lengths 2.872, 4.720, 6.158 Å; angles 110.77, 76.51, 72.29 degrees
Each line ends with the local moment (μB).
Positions (direct):
Co1 0.837 0.497 0.830  1.50
Fe1 0.500 0.500 0.500  2.69
Al1 0.000 0.000 0.000  -0.04
Co2 0.671 0.995 0.662  1.56
Co3 0.163 0.503 0.170  1.50
Co4 0.329 0.005 0.338  1.56